(1)
First-principles (PBE-GGA) data for an optimized crystal structure of Rb3ThBr7, as listed in Alexandria.

```
11
Lattice="-4.354 -6.756 0.803 5.576 -3.810 4.430 -2.417 -2.135 8.351" Properties=species:S:1:pos:R:3 pbc="T T T"
Br -2.533 -5.251 2.815
Rb 2.158 -5.531 7.709
Br 2.482 -3.764 4.646
Br -0.190 -7.797 6.850
Br -4.313 -9.382 8.324
Rb -1.578 -7.299 10.247
Br 2.328 -7.412 10.749
Rb -3.301 -7.150 5.715
Th 1.057 -10.144 5.343
Br -1.114 -10.410 11.504
Br -0.197 -1.783 1.989
```

=====

(2)
First-principles (PBE-GGA) data for an optimized crystal structure of Rb3ThBr8, as listed in Alexandria.

```
12
Lattice="7.863 0.000 0.000 0.000 7.863 0.000 0.000 0.000 7.863" Properties=species:S:1:pos:R:3 pbc="T T T"
Br 1.739 1.739 6.124
Rb 3.931 0.000 3.931
Rb 3.931 3.931 0.000
Br 1.739 1.739 1.739
Rb 0.000 3.931 3.931
Th 0.000 0.000 0.000
Br 6.124 6.124 1.739
Br 1.739 6.124 6.124
Br 6.124 6.124 6.124
Br 6.124 1.739 1.739
Br 6.124 1.739 6.124
Br 1.739 6.124 1.739
```

=====

(3)
First-principles (PBE-GGA) data for an optimized crystal structure of Rb2ThBr5, as listed in Alexandria.

```
8
Lattice="-2.032 -3.732 -7.035 -3.044 -6.345 4.245 -2.307 7.446 1.518" Properties=species:S:1:pos:R:3 pbc="T T T"
Br -2.927 -5.638 1.481
Br -3.963 -7.539 -2.102
Rb -3.388 -0.687 -3.458
Br -4.843 -3.894 -1.336
Br -2.412 -4.307 -4.264
Th -7.340 -2.652 -1.273
Rb -3.894 -1.994 2.183
Br -1.377 -2.407 -0.681
```

=====

(4)
First-principles (PBE-GGA) data for an optimized crystal structure of RbThBr4, as listed in Alexandria.

```
12
Lattice="-2.628 -2.476 -5.412 7.111 2.605 -4.647 3.968 -6.630 5.016" Properties=species:S:1:pos:R:3 pbc="T T T"
Br 7.200 -0.979 -2.099
Th 0.670 -4.553 -0.198
Br 6.183 0.305 -5.672
Br 1.699 -1.874 -5.262
Rb 3.223 -0.037 -7.833
Br 3.005 -2.885 -1.094
Br 2.267 -6.806 0.628
Th 5.539 -2.012 0.184
Br 1.250 -5.522 -2.945
Br 6.751 -4.627 0.219
Rb 5.227 -6.464 2.790
Br 5.445 -3.616 -3.950
```

=====

The following DOS at the Fermi energy values (in states/eV per cell) correspond, in order, to the records above: 0.00; 14.72; 1.96; 7.06.
The following E_form (uncorrected) values (in eV per atom) correspond, in order, to the records above: -1.759; -1.544; -1.548; -1.525.